[1]
## Tm6ScPb10 (PBE)

Data for a relaxed Tm6ScPb10 crystal.

Geometry as POSCAR:
```
Tm6ScPb10
1.0
-2.894 4.687 3.431
-7.765 -1.285 -4.796
1.471 -4.765 7.751
Tm Sc Pb
6 1 10
Cartesian
-4.597 1.097 3.689
-1.241 0.558 7.256
-6.868 2.679 -0.388
-4.591 -2.460 2.697
-0.182 -0.637 3.926
-3.791 0.723 -0.977
-1.447 2.343 1.715
-6.978 -0.812 4.912
-1.910 2.488 4.679
-4.259 3.373 1.488
-2.210 -0.551 1.474
0.487 -2.566 6.503
-6.401 0.030 -2.853
-3.055 -1.262 5.284
-6.134 -0.101 1.102
-4.686 -2.445 -0.614
-1.608 -3.605 3.569
```

Results
- Uncorrected energy: -4.422 eV per atom
- Energy of formation from the pure elements: -289.6 meV/atom
- Symmetry: No. 162
- M_tot: 0.0 Bohr magnetons per cell
- Crystal system: trigonal

[2]
## HfZrAlAs2 (PBE)

Data for a relaxed HfZrAlAs2 crystal.

Geometry as POSCAR:
```
HfZrAlAs2
1.0
-0.561 1.173 -4.599
-4.872 0.725 0.779
0.852 4.581 1.064
As Hf Al Zr
2 1 1 1
Cartesian
0.426 2.290 0.532
-0.280 0.586 -2.300
-2.436 0.363 0.389
0.000 0.000 0.000
-2.291 3.239 -1.378
```

Results
- Uncorrected energy: -5.696 eV per atom
- Energy of formation from the pure elements: 612.5 meV/atom
- Symmetry: No. 123
- M_tot: 0.0 Bohr magnetons per cell
- Crystal system: tetragonal

[3]
## Y3Cd5H12 (PBE)

Data for a relaxed Y3Cd5H12 crystal.

Geometry as POSCAR:
```
Y3Cd5H12
1.0
10.931 0.000 0.000
-3.644 10.305 0.000
-3.644 -5.153 8.925
Y Cd H
12 20 48
Cartesian
6.376 3.220 1.116
6.376 7.085 1.116
-0.911 4.509 5.578
0.911 -0.644 3.347
8.198 0.000 2.231
0.911 5.153 2.231
2.733 0.000 6.694
-4.554 5.153 6.694
2.733 5.797 5.578
4.554 0.644 3.347
-2.733 -1.932 7.809
-2.733 1.932 7.809
-0.911 2.576 2.231
-1.822 5.153 0.000
0.000 0.000 0.000
2.733 1.932 1.116
3.644 -2.576 4.462
3.644 5.153 0.000
-2.733 5.797 3.347
4.554 -3.220 7.809
4.554 4.509 3.347
0.911 -2.576 6.694
2.733 7.729 2.231
1.822 2.576 4.462
5.465 0.000 0.000
-1.822 -2.576 4.462
-0.911 0.644 5.578
-0.911 8.373 1.116
-3.644 2.576 4.462
6.376 -0.644 5.578
0.911 3.220 7.809
4.554 2.576 6.694
7.346 1.258 0.551
-0.059 3.683 3.648
8.057 2.255 2.287
4.695 1.723 1.365
1.262 4.150 6.086
7.438 5.155 1.623
-0.770 5.685 3.653
-2.874 8.582 1.365
0.559 6.155 6.086
5.314 5.150 1.623
5.406 2.728 3.097
5.406 9.047 0.551
-3.084 4.769 5.014
1.973 3.745 0.809
-3.584 7.578 3.097
1.762 -1.470 5.276
-0.559 0.619 2.175
1.973 6.557 0.814
4.695 8.050 2.287
-0.151 3.748 0.814
-2.381 5.772 6.750
2.592 4.620 3.653
4.906 5.536 5.014
3.795 -1.407 8.115
1.052 0.532 5.272
-1.262 -0.383 3.911
-0.151 6.560 0.809
-1.052 -2.897 6.637
6.025 -0.619 2.175
3.795 1.405 8.111
1.670 -1.405 8.111
1.881 6.622 3.648
4.203 4.534 6.750
7.228 -2.425 5.828
6.728 0.383 3.911
-1.762 -3.894 8.373
1.670 1.407 8.115
3.084 -1.002 2.839
-1.670 0.003 7.301
-1.762 2.425 5.828
6.517 -3.430 7.559
4.413 -0.532 5.272
-1.052 3.430 7.559
-3.795 -0.003 7.301
2.381 1.002 2.839
-4.413 2.897 6.637
3.703 1.470 5.276
-3.703 3.894 8.373
```

Results
- Uncorrected energy: -3.229 eV per atom
- Symmetry: No. 230
- M_tot: 0.0 Bohr magnetons per cell
- Crystal system: cubic

[4]
## Ni3Ag5 (PBE)

Data for a relaxed Ni3Ag5 crystal.

Geometry as POSCAR:
```
Ni3Ag5
1.0
7.478 0.004 0.040
-5.821 4.693 0.040
-0.794 -2.251 7.064
Ni Ag
6 10
Cartesian
-1.053 0.427 3.554
0.509 1.142 0.024
-2.360 3.909 1.113
3.223 -1.460 6.035
1.148 3.558 0.064
1.917 2.021 3.594
-4.707 1.588 6.056
1.047 -0.264 2.144
-2.890 2.404 3.286
-1.987 0.629 6.056
1.015 -0.351 4.966
-0.153 2.800 2.184
2.851 1.819 1.092
3.754 0.044 3.863
-0.182 2.712 5.005
5.570 0.861 1.092
```

Results
- Uncorrected energy: -3.626 eV per atom
- Energy of formation from the pure elements: 324.0 meV/atom
- Symmetry: No. 12
- M_tot: 0.5 Bohr magnetons per cell
- Crystal system: monoclinic
- ΔE to the lowest computed polymorph: 0 meV per atom

[5]
## Sc2BeGaC (PBE)

Data for a relaxed Sc2BeGaC crystal.

Geometry as POSCAR:
```
Sc2BeGaC
1.0
4.637 0.000 0.000
0.000 4.637 0.000
0.000 0.000 3.466
Sc Be C Ga
2 1 1 1
Cartesian
0.000 2.318 0.000
2.318 0.000 0.000
0.000 0.000 1.733
0.000 0.000 0.000
2.318 2.318 1.733
```

Results
- Uncorrected energy: -6.184 eV per atom
- Energy of formation from the pure elements: -455.7 meV/atom
- Symmetry: No. 123
- M_tot: 0.0 Bohr magnetons per cell
- Crystal system: tetragonal
- ΔE to the lowest computed polymorph: 0 meV per atom

[6]
## NaDy2NpO8 (PBE)

Data for a relaxed NaDy2NpO8 crystal.

Geometry as POSCAR:
```
NaDy2NpO8
1.0
5.488 -0.004 -0.003
0.023 4.495 -0.004
0.004 0.008 7.008
Na Dy Np O
1 2 1 8
Cartesian
0.002 0.004 3.504
2.759 2.251 5.317
2.757 2.248 1.683
0.000 0.000 0.000
0.844 3.471 1.467
3.727 3.295 7.002
4.668 1.022 1.466
4.672 1.028 5.534
1.788 1.204 -0.002
0.847 3.477 5.535
3.026 3.785 3.499
2.489 0.713 3.502
```

Results
- Uncorrected energy: -7.831 eV per atom
- E_form (uncorrected): -2.57 eV per atom
- Symmetry: No. 10
- M_tot: 0.0 Bohr magnetons per cell
- Crystal system: monoclinic

[7]
## ScReRu2 (PBE)

Data for a relaxed ScReRu2 crystal.

Geometry as POSCAR:
```
ScReRu2
1.0
5.175 -0.010 -0.002
2.206 4.682 0.002
-3.134 -3.216 2.574
Re Ru Sc
1 2 1
Cartesian
1.381 1.901 1.288
0.102 0.064 0.000
3.589 2.271 0.000
2.866 -0.445 1.286
```

Results
- Uncorrected energy: -9.301 eV per atom
- Energy of formation from the pure elements: 32.0 meV/atom
- Symmetry: No. 71
- M_tot: 0.0 Bohr magnetons per cell
- Crystal system: orthorhombic

[8]
## LaFeCo2 (PBE)

Data for a relaxed LaFeCo2 crystal.

Geometry as POSCAR:
```
LaFeCo2
1.0
0.000 3.195 3.195
3.195 0.000 3.195
3.195 3.195 0.000
Co Fe La
2 1 1
Cartesian
1.598 1.598 1.598
4.793 4.793 4.793
0.000 0.000 0.000
3.195 3.195 3.195
```

Results
- Uncorrected energy: -6.550 eV per atom
- Energy of formation from the pure elements: 350.9 meV/atom
- Symmetry: No. 225
- M_tot: 4.9 Bohr magnetons per cell
- Crystal system: cubic

- The lowest uncorrected energy belongs to which entry?
  ScReRu2

- Which of these has the highest M_tot?
  LaFeCo2

- Which of these has the highest M_tot?
  LaFeCo2